Entry 1:
This record from Alexandria describes crystalline LiEu2Zr at its relaxed geometry. The functional is PBE-GGA.

Summary:
Its space group is R-3m.

Lattice parameters (Å, degrees): 3.3566 3.3566 36.1589 90.00 90.00 120.00
Last column: nearest neighbours and their distance in Å.
Fractional coordinates of all 12 atoms:
Li  0.0000  0.0000  0.0000  6 Li 3.36, 6 Eu 3.48
Li  0.3333  0.6667  0.6667  6 Li 3.36, 6 Eu 3.48
Li  0.6667  0.3333  0.3333  6 Li 3.36, 6 Eu 3.48
Eu  0.0000  0.0000  0.4133  1 Zr 3.13, 6 Eu 3.36, 3 Li 3.48
Eu  0.0000  0.0000  0.5867  1 Zr 3.13, 6 Eu 3.36, 3 Li 3.48
Eu  0.3333  0.6667  0.0800  1 Zr 3.13, 6 Eu 3.36, 3 Li 3.48
Eu  0.3333  0.6667  0.2533  1 Zr 3.13, 6 Eu 3.36, 3 Li 3.48
Eu  0.6667  0.3333  0.7467  1 Zr 3.13, 6 Eu 3.36, 3 Li 3.48
Eu  0.6667  0.3333  0.9200  1 Zr 3.13, 6 Eu 3.36, 3 Li 3.48
Zr  0.0000  0.0000  0.5000  2 Eu 3.13, 6 Zr 3.36
Zr  0.3333  0.6667  0.1667  2 Eu 3.13, 6 Zr 3.36
Zr  0.6667  0.3333  0.8333  2 Eu 3.13, 6 Zr 3.36

---

Entry 2:
This record from Alexandria describes crystalline Eu6Lu at its relaxed geometry. The functional is PBE-GGA.

Summary:
Its space group is Im-3m.

Lattice parameters (Å, degrees): 8.3124 8.3124 8.3124 90.00 90.00 90.00
Last column: nearest neighbours and their distance in Å.
Fractional coordinates of all 14 atoms:
Eu  0.0000  0.2500  0.5000  4 Eu 2.94
Eu  0.0000  0.5000  0.2500  4 Eu 2.94
Eu  0.0000  0.5000  0.7500  4 Eu 2.94
Eu  0.0000  0.7500  0.5000  4 Eu 2.94
Eu  0.2500  0.0000  0.5000  4 Eu 2.94
Eu  0.2500  0.5000  0.0000  4 Eu 2.94
Eu  0.5000  0.0000  0.2500  4 Eu 2.94
Eu  0.5000  0.0000  0.7500  4 Eu 2.94
Eu  0.5000  0.2500  0.0000  4 Eu 2.94
Eu  0.5000  0.7500  0.0000  4 Eu 2.94
Eu  0.7500  0.0000  0.5000  4 Eu 2.94
Eu  0.7500  0.5000  0.0000  4 Eu 2.94
Lu  0.0000  0.0000  0.0000  24 Eu 4.65
Lu  0.5000  0.5000  0.5000  24 Eu 4.65

---

Entry 3:
This record from Alexandria describes crystalline Eu3Lu at its relaxed geometry. The functional is PBE-GGA.

Summary:
As for the offset from the most stable computed form: 0.066 eV/f.u. Its space group is Imm2.

Lattice parameters (Å, degrees): 3.7221 12.3979 6.4596 90.00 90.00 90.00
Last column: nearest neighbours and their distance in Å.
Fractional coordinates of all 8 atoms:
Eu  0.0000  0.0000  0.0000  4 Lu 3.71-3.74, 8 Eu 3.72-3.83
Eu  0.0000  0.2432  0.6586  3 Lu 3.69-3.86, 9 Eu 3.72-3.83
Eu  0.0000  0.7568  0.6586  3 Lu 3.69-3.86, 9 Eu 3.72-3.83
Eu  0.5000  0.2568  0.1586  3 Lu 3.69-3.86, 9 Eu 3.72-3.83
Eu  0.5000  0.5000  0.5000  4 Lu 3.71-3.74, 8 Eu 3.72-3.83
Eu  0.5000  0.7432  0.1586  3 Lu 3.69-3.86, 9 Eu 3.72-3.83
Lu  0.0000  0.5000  0.9973  10 Eu 3.69-3.86, 2 Lu 3.72
Lu  0.5000  0.0000  0.4973  10 Eu 3.69-3.86, 2 Lu 3.72

---

Entry 4:
This record from Alexandria describes crystalline Eu3Lu at its relaxed geometry. The functional is PBE-GGA.

Summary:
As for the offset from the most stable computed form: 0.177 eV/f.u. Its space group is I4/mmm.

Lattice parameters (Å, degrees): 5.2958 5.2958 10.7290 90.00 90.00 90.00
Last column: nearest neighbours and their distance in Å.
Fractional coordinates of all 8 atoms:
Eu  0.0000  0.0000  0.0000  4 Lu 3.74, 8 Eu 3.77
Eu  0.0000  0.5000  0.2500  8 Eu 3.74-3.77, 4 Lu 3.77
Eu  0.0000  0.5000  0.7500  8 Eu 3.74-3.77, 4 Lu 3.77
Eu  0.5000  0.0000  0.2500  8 Eu 3.74-3.77, 4 Lu 3.77
Eu  0.5000  0.0000  0.7500  8 Eu 3.74-3.77, 4 Lu 3.77
Eu  0.5000  0.5000  0.5000  4 Lu 3.74, 8 Eu 3.77
Lu  0.0000  0.0000  0.5000  12 Eu 3.74-3.77
Lu  0.5000  0.5000  0.0000  12 Eu 3.74-3.77

---

Entry 5:
This record from Alexandria describes crystalline Eu3Lu at its relaxed geometry. The functional is PBE-GGA.

Summary:
As for the offset from the most stable computed form: 0.000 eV/f.u. Its space group is P6_3/mmc.

Lattice parameters (Å, degrees): 7.5893 7.5893 6.0724 90.00 90.00 120.00
Last column: nearest neighbours and their distance in Å.
Fractional coordinates of all 8 atoms:
Eu  0.1702  0.3403  0.2500  8 Eu 3.71-3.87, 4 Lu 3.72-3.79
Eu  0.1702  0.8298  0.2500  8 Eu 3.71-3.87, 4 Lu 3.72-3.79
Eu  0.3403  0.1702  0.7500  8 Eu 3.71-3.87, 4 Lu 3.72-3.79
Eu  0.6597  0.8298  0.2500  8 Eu 3.71-3.87, 4 Lu 3.72-3.79
Eu  0.8298  0.1702  0.7500  8 Eu 3.71-3.87, 4 Lu 3.72-3.79
Eu  0.8298  0.6597  0.7500  8 Eu 3.71-3.87, 4 Lu 3.72-3.79
Lu  0.3333  0.6667  0.7500  12 Eu 3.72-3.79
Lu  0.6667  0.3333  0.2500  12 Eu 3.72-3.79

---

Entry 6:
This record from Alexandria describes crystalline Eu3Lu at its relaxed geometry. The functional is PBE-GGA.

Summary:
As for the offset from the most stable computed form: 0.191 eV/f.u. Its space group is Pmmm.

Lattice parameters (Å, degrees): 5.2603 5.2810 5.4096 90.00 90.00 90.00
Last column: nearest neighbours and their distance in Å.
Fractional coordinates of all 4 atoms:
Eu  0.0000  0.0000  0.0000  4 Lu 3.73, 8 Eu 3.77-3.78
Eu  0.0000  0.5000  0.5000  8 Eu 3.73-3.78, 4 Lu 3.77
Eu  0.5000  0.0000  0.5000  8 Eu 3.73-3.77, 4 Lu 3.78
Lu  0.5000  0.5000  0.0000  12 Eu 3.73-3.78

---

Entry 7:
This record from Alexandria describes crystalline EuLu2 at its relaxed geometry. The functional is PBE-GGA.

Summary:
Its space group is I4/mmm.

Lattice parameters (Å, degrees): 3.5840 3.5840 15.1579 90.00 90.00 90.00
Last column: nearest neighbours and their distance in Å.
Fractional coordinates of all 6 atoms:
Eu  0.0000  0.0000  0.0000  4 Eu 3.58, 8 Lu 3.68
Eu  0.5000  0.5000  0.5000  4 Eu 3.58, 8 Lu 3.68
Lu  0.0000  0.0000  0.3241  8 Lu 3.39-3.58, 4 Eu 3.68
Lu  0.0000  0.0000  0.6759  8 Lu 3.39-3.58, 4 Eu 3.68
Lu  0.5000  0.5000  0.1759  8 Lu 3.39-3.58, 4 Eu 3.68
Lu  0.5000  0.5000  0.8241  8 Lu 3.39-3.58, 4 Eu 3.68

---

Entry 8:
This record from Alexandria describes crystalline Eu3Lu at its relaxed geometry. The functional is PBE-GGA.

Summary:
As for the offset from the most stable computed form: 0.098 eV/f.u. Its space group is Fm-3m.

Lattice parameters (Å, degrees): 8.4324 8.4324 8.4324 90.00 90.00 90.00
Last column: nearest neighbours and their distance in Å.
Fractional coordinates of all 16 atoms:
Eu  0.0000  0.0000  0.0000  8 Eu 3.65
Eu  0.0000  0.5000  0.5000  8 Eu 3.65
Eu  0.2500  0.2500  0.2500  4 Eu 3.65, 4 Lu 3.65
Eu  0.2500  0.2500  0.7500  4 Eu 3.65, 4 Lu 3.65
Eu  0.2500  0.7500  0.2500  4 Eu 3.65, 4 Lu 3.65
Eu  0.2500  0.7500  0.7500  4 Eu 3.65, 4 Lu 3.65
Eu  0.5000  0.0000  0.5000  8 Eu 3.65
Eu  0.5000  0.5000  0.0000  8 Eu 3.65
Eu  0.7500  0.2500  0.2500  4 Eu 3.65, 4 Lu 3.65
Eu  0.7500  0.2500  0.7500  4 Eu 3.65, 4 Lu 3.65
Eu  0.7500  0.7500  0.2500  4 Eu 3.65, 4 Lu 3.65
Eu  0.7500  0.7500  0.7500  4 Eu 3.65, 4 Lu 3.65
Lu  0.0000  0.0000  0.5000  8 Eu 3.65
Lu  0.0000  0.5000  0.0000  8 Eu 3.65
Lu  0.5000  0.0000  0.0000  8 Eu 3.65
Lu  0.5000  0.5000  0.5000  8 Eu 3.65

---

Number 1: energy relative to the elements 41.2 kJ/mol of atoms. Number 2: energy relative to the elements 113.7 kJ/mol of atoms. Number 3: energy relative to the elements 11.1 kJ/mol of atoms. Number 4: energy relative to the elements 13.8 kJ/mol of atoms. Number 5: energy relative to the elements 9.6 kJ/mol of atoms. Number 6: energy relative to the elements 14.2 kJ/mol of atoms. Number 7: energy relative to the elements 8.7 kJ/mol of atoms. Number 8: energy relative to the elements 11.9 kJ/mol of atoms.